TbYSc4 after structural relaxation, computed with PBE.

Properties
SG: Immm
ΔE to the lowest computed polymorph, meV per atom: 0
Formation enthalpy at 0 K, eV/atom: 0.0666

Cell lengths 5.3177, 6.2563, 11.3108 Å; angles 72.94, 90.00, 115.15 degrees
With the nearest neighbours (Å) after each atom.
Fractional positions:
1 Y 0.2499 0.0000 0.2500  2 Tb 3.29, 12 Sc 3.48-3.49
2 Y 0.7501 0.0000 0.7500  2 Tb 3.29, 12 Sc 3.48-3.49
3 Sc 0.0416 0.5831 0.7917  5 Sc 3.07-3.29
4 Sc 0.2084 0.9168 0.9582  5 Sc 3.07-3.29
5 Sc 0.7084 0.9168 0.4582  5 Sc 3.07-3.29
6 Sc 0.5415 0.5831 0.2917  5 Sc 3.07-3.29
7 Sc 0.9584 0.4169 0.2083  5 Sc 3.07-3.29
8 Sc 0.2916 0.0832 0.5418  5 Sc 3.07-3.29
9 Sc 0.4585 0.4169 0.7083  5 Sc 3.07-3.29
10 Sc 0.7916 0.0832 0.0418  5 Sc 3.07-3.29
11 Tb 0.0000 0.5000 0.5000  2 Y 3.29, 12 Sc 3.48
12 Tb 0.5000 0.5000 0.0000  2 Y 3.29, 12 Sc 3.48